The following is a DFT calculation (PBE) of SmErCuOs after structural relaxation.

Output
For the formation energy from the elements, the calculation gives -0.2093 eV per atom.

abc: 6.9045 6.9045 6.9045
angles: 90.00 90.00 90.00
Closest atoms and distances in Å follow each position.
Fractional positions:
1 Sm 0.0000 0.0000 0.0000  4 Os 2.99, 4 Cu 2.99
2 Sm 0.0000 0.5000 0.5000  4 Os 2.99, 4 Cu 2.99
3 Sm 0.5000 0.0000 0.5000  4 Os 2.99, 4 Cu 2.99
4 Sm 0.5000 0.5000 0.0000  4 Os 2.99, 4 Cu 2.99
5 Er 0.0000 0.0000 0.5000  4 Cu 2.99, 4 Os 2.99
6 Er 0.0000 0.5000 0.0000  4 Cu 2.99, 4 Os 2.99
7 Er 0.5000 0.0000 0.0000  4 Cu 2.99, 4 Os 2.99
8 Er 0.5000 0.5000 0.5000  4 Cu 2.99, 4 Os 2.99
9 Cu 0.2500 0.2500 0.2500  4 Er 2.99, 4 Sm 2.99
10 Cu 0.2500 0.7500 0.7500  4 Er 2.99, 4 Sm 2.99
11 Cu 0.7500 0.2500 0.7500  4 Er 2.99, 4 Sm 2.99
12 Cu 0.7500 0.7500 0.2500  4 Er 2.99, 4 Sm 2.99
13 Os 0.2500 0.2500 0.7500  4 Er 2.99, 4 Sm 2.99
14 Os 0.2500 0.7500 0.2500  4 Er 2.99, 4 Sm 2.99
15 Os 0.7500 0.2500 0.2500  4 Er 2.99, 4 Sm 2.99
16 Os 0.7500 0.7500 0.7500  4 Sm 2.99, 4 Er 2.99